1.
A relaxed ThMgAuN crystal, computed with PBE.

Values from the calculation:
The value obtained for the total DFT energy (no corrections) is -49.69 eV per cell.

a b c (Å): 4.244 4.244 9.130
angles (deg): 90.00 90.00 90.00
Space group P4/nmm (No. 129, origin choice 2)
Symmetry-distinct sites (fractional):
Th (0.250, 0.250, 0.118) x2
Mg (0.250, 0.750, 0.500) x2
Au (0.250, 0.250, 0.686) x2
N (0.250, 0.750, 0.000) x2

***

2.
A relaxed MgTi2AuN crystal, computed with PBE.

Values from the calculation:
The value obtained for the total DFT energy (no corrections) is -33.15 eV per cell.

a b c (Å): 4.109 4.109 4.309
angles (deg): 90.00 90.00 90.00
Space group P4/mmm (No. 123)
Symmetry-distinct sites (fractional):
Mg (0.000, 0.000, 0.000) x1
Ti (0.000, 0.500, 0.500) x2
Au (0.500, 0.500, 0.000) x1
N (0.000, 0.000, 0.500) x1

***

3.
A relaxed YMg2AuN crystal, computed with PBE.

Values from the calculation:
The value obtained for the total DFT energy (no corrections) is -24.98 eV per cell.

a b c (Å): 4.300 4.300 4.810
angles (deg): 90.00 90.00 90.00
Space group P4/mmm (No. 123)
Symmetry-distinct sites (fractional):
Y (0.000, 0.000, 0.000) x1
Mg (0.000, 0.500, 0.500) x2
Au (0.500, 0.500, 0.000) x1
N (0.000, 0.000, 0.500) x1

***

4.
A relaxed YMg2AuN crystal, computed with PBE.

Values from the calculation:
The value obtained for the total DFT energy (no corrections) is -17.62 eV per cell.

a b c (Å): 6.105 6.105 4.081
angles (deg): 90.00 90.00 90.00
Space group P4/mmm (No. 123)
Symmetry-distinct sites (fractional):
Y (0.000, 0.000, 0.000) x1
Mg (0.000, 0.500, 0.000) x2
Au (0.500, 0.500, 0.500) x1
N (0.000, 0.000, 0.500) x1

***

What did the third record say?
A relaxed YMg2AuN crystal, computed with PBE.

Values from the calculation:
The value obtained for the total DFT energy (no corrections) is -24.98 eV per cell.

a b c (Å): 4.300 4.300 4.810
angles (deg): 90.00 90.00 90.00
Space group P4/mmm (No. 123)
Symmetry-distinct sites (fractional):
Y (0.000, 0.000, 0.000) x1
Mg (0.000, 0.500, 0.500) x2
Au (0.500, 0.500, 0.000) x1
N (0.000, 0.000, 0.500) x1

***

Question: Which formula does entry 2 have?
Answer: MgTi2AuN

***

Question: Look up the total DFT energy (no corrections) of the third one.
Answer: -24.98 eV per cell

***

Question: The highest total DFT energy (no corrections) belongs to which entry?
Answer: number 4